Material: CsK3Hg
Method: DFT, GGA-PBEsol
State: optimized geometry

Output
Magnetic moment in μB/atom: 0.00
E_form in meV/atom: -59
Total energy in eV/atom: -1.0407
Symmetry: Pm-3m

```
CsK3Hg
1.0
-3.815 -5.598 -0.802
1.912 -2.187 6.172
-5.322 3.227 2.792
Cs K Hg
1 3 1
direct
0.500 0.500 0.500
0.000 0.500 0.000
0.000 0.000 0.500
0.500 0.000 0.000
0.000 0.000 0.000
```